[1]
MgNb3Al after structural relaxation. Source: Alexandria via LeMat-Bulk, functional PBE.

The structure in extended XYZ format:
```
5
Lattice="4.7276 0.0000 0.0000 0.0000 4.7276 0.0000 0.0000 0.0000 4.7276" Properties=species:S:1:pos:R:3 pbc="T T T"
Mg 0.0000 0.0000 0.0000
Nb 0.0000 0.0000 2.3638
Nb 0.0000 2.3638 0.0000
Nb 2.3638 0.0000 0.0000
Al 2.3638 2.3638 2.3638
```

Computed properties:
Magnetic moment (μB/atom): 0.000
Relative energy among the computed polymorphs (eV per atom): 0.507
ΔE_f (eV per formula unit): 7.52
SG: Pm-3m, No. 221



[2]
MgNb2Al2 after structural relaxation. Source: Alexandria via LeMat-Bulk, functional PBE.

The structure in extended XYZ format:
```
10
Lattice="8.0219 0.0000 0.0000 0.0000 8.0219 0.0000 0.0000 0.0000 2.9503" Properties=species:S:1:pos:R:3 pbc="T T T"
Mg 0.0000 0.0000 0.0000
Mg 4.0110 4.0110 0.0000
Nb 0.9397 3.0712 0.0000
Nb 3.0712 7.0822 0.0000
Nb 4.9507 0.9397 0.0000
Nb 7.0822 4.9507 0.0000
Al 1.4346 5.4455 1.4751
Al 2.5764 1.4346 1.4751
Al 5.4455 6.5873 1.4751
Al 6.5873 2.5764 1.4751
```

Computed properties:
Magnetic moment (μB/atom): 0.000
Relative energy among the computed polymorphs (eV per atom): 0.064
ΔE_f (eV per formula unit): 0.04
SG: P4/mbm, No. 127



[3]
Mg3NbAl after structural relaxation. Source: Alexandria via LeMat-Bulk, functional PBE.

The structure in extended XYZ format:
```
5
Lattice="4.9225 0.0000 0.0000 0.0000 4.9225 0.0000 0.0000 0.0000 4.9225" Properties=species:S:1:pos:R:3 pbc="T T T"
Mg 0.0000 0.0000 2.4613
Mg 0.0000 2.4613 0.0000
Mg 2.4613 0.0000 0.0000
Nb 2.4613 2.4613 2.4613
Al 0.0000 0.0000 0.0000
```

Computed properties:
Magnetic moment (μB/atom): 0.000
Relative energy among the computed polymorphs (eV per atom): 0.000
ΔE_f (eV per formula unit): 5.19
SG: Pm-3m, No. 221



[4]
Mg2NbAl after structural relaxation. Source: Alexandria via LeMat-Bulk, functional PBE.

The structure in extended XYZ format:
```
8
Lattice="-3.8137 3.8137 2.7667 3.8137 -3.8137 2.7667 3.8137 3.8137 -2.7667" Properties=species:S:1:pos:R:3 pbc="T T T"
Mg 5.7205 1.7569 -0.6917
Mg 1.7569 1.9068 0.6917
Mg -1.9068 2.0568 2.0750
Mg 2.0568 1.9068 3.4583
Nb 3.8137 0.0000 1.3833
Nb 0.0000 0.0000 2.7667
Al 0.0000 0.0000 0.0000
Al 0.0000 3.8137 1.3833
```

Computed properties:
Magnetic moment (μB/atom): 0.000
ΔE_f (eV per formula unit): 1.90
SG: I-42d, No. 122



[5]
MgNb2Al after structural relaxation. Source: Alexandria via LeMat-Bulk, functional PBE.

The structure in extended XYZ format:
```
8
Lattice="-3.7253 3.7253 2.7501 3.7253 -3.7253 2.7501 3.7253 3.7253 -2.7501" Properties=species:S:1:pos:R:3 pbc="T T T"
Mg 0.0000 0.0000 0.0000
Mg 0.0000 3.7253 1.3750
Nb 1.8627 -1.7675 2.0625
Nb 1.9578 1.8627 0.6875
Nb 1.8627 5.4928 -0.6875
Nb 1.7675 1.8627 3.4376
Al 3.7253 0.0000 1.3750
Al 0.0000 0.0000 2.7501
```

Computed properties:
Magnetic moment (μB/atom): 0.000
ΔE_f (eV per formula unit): 1.83
SG: I-42d, No. 122



[6]
MgNb2Al2 after structural relaxation. Source: Alexandria via LeMat-Bulk, functional PBE.

The structure in extended XYZ format:
```
10
Lattice="7.1929 0.0000 0.0000 0.0000 7.1929 0.0000 0.0000 0.0000 3.4548" Properties=species:S:1:pos:R:3 pbc="T T T"
Mg 0.0000 0.0000 0.0000
Mg 3.5965 3.5965 0.0000
Nb 1.2294 2.3670 1.7274
Nb 2.3670 5.9635 1.7274
Nb 4.8259 1.2294 1.7274
Nb 5.9635 4.8259 1.7274
Al 0.8990 4.4954 0.0000
Al 2.6975 0.8990 0.0000
Al 4.4954 6.2940 0.0000
Al 6.2940 2.6975 0.0000
```

Computed properties:
Magnetic moment (μB/atom): 0.001
Relative energy among the computed polymorphs (eV per atom): 0.000
ΔE_f (eV per formula unit): -0.27
SG: P4/mbm, No. 127



[7]
Mg2NbAl2 after structural relaxation. Source: Alexandria via LeMat-Bulk, functional PBE.

The structure in extended XYZ format:
```
10
Lattice="7.6193 0.0000 0.0000 0.0000 7.6193 0.0000 0.0000 0.0000 3.1637" Properties=species:S:1:pos:R:3 pbc="T T T"
Mg 1.3026 2.5071 0.0000
Mg 2.5071 6.3168 0.0000
Mg 5.1123 1.3026 0.0000
Mg 6.3168 5.1123 0.0000
Nb 0.0000 0.0000 1.5819
Nb 3.8097 3.8097 1.5819
Al 0.9814 4.7911 1.5819
Al 2.8282 0.9814 1.5819
Al 4.7911 6.6379 1.5819
Al 6.6379 2.8282 1.5819
```

Computed properties:
Magnetic moment (μB/atom): 0.000
Relative energy among the computed polymorphs (eV per atom): 0.000
ΔE_f (eV per formula unit): 0.64
SG: P4/mbm, No. 127



[8]
Mg3NbAl after structural relaxation. Source: Alexandria via LeMat-Bulk, functional PBE.

The structure in extended XYZ format:
```
5
Lattice="5.4118 0.0000 0.0000 0.0000 5.4118 0.0000 0.0000 0.0000 5.4118" Properties=species:S:1:pos:R:3 pbc="T T T"
Mg 0.0000 0.0000 2.7059
Mg 0.0000 2.7059 0.0000
Mg 2.7059 0.0000 0.0000
Nb 0.0000 0.0000 0.0000
Al 2.7059 2.7059 2.7059
```

Computed properties:
Magnetic moment (μB/atom): 0.726
Relative energy among the computed polymorphs (eV per atom): 0.197
ΔE_f (eV per formula unit): 6.18
SG: Pm-3m, No. 221



[9]
Mg2NbAl after structural relaxation. Source: Alexandria via LeMat-Bulk, functional PBE.

The structure in extended XYZ format:
```
4
Lattice="1.4845 0.8571 10.3903 -1.4845 0.8571 10.3903 0.0000 -1.7142 10.3903" Properties=species:S:1:pos:R:3 pbc="T T T"
Mg 0.0000 0.0000 2.8336
Mg 0.0000 0.0000 28.3373
Nb 0.0000 0.0000 0.0000
Al 0.0000 0.0000 15.5855
```

Computed properties:
Magnetic moment (μB/atom): 0.000
ΔE_f (eV per formula unit): 1.49
SG: R-3m, No. 166



[10]
MgNb3Al after structural relaxation. Source: Alexandria via LeMat-Bulk, functional PBE.

The structure in extended XYZ format:
```
5
Lattice="4.7804 0.0000 0.0000 0.0000 4.7804 0.0000 0.0000 0.0000 4.7804" Properties=species:S:1:pos:R:3 pbc="T T T"
Mg 0.0000 0.0000 0.0000
Nb 0.0000 2.3902 2.3902
Nb 2.3902 0.0000 2.3902
Nb 2.3902 2.3902 0.0000
Al 2.3902 2.3902 2.3902
```

Computed properties:
Magnetic moment (μB/atom): 0.000
Relative energy among the computed polymorphs (eV per atom): 0.000
ΔE_f (eV per formula unit): 4.99
SG: Pm-3m, No. 221



[11]
Mg2NbAlO6 after structural relaxation. Source: Alexandria via LeMat-Bulk, functional PBE.

The structure in extended XYZ format:
```
10
Lattice="5.1292 0.0000 0.0000 0.0000 5.1292 0.0000 0.0000 0.0000 4.7307" Properties=species:S:1:pos:R:3 pbc="T T T"
Mg 0.0000 2.5646 0.0000
Mg 2.5646 0.0000 0.0000
Nb 0.0000 0.0000 2.9755
Al 2.5646 2.5646 3.0110
O 0.0000 0.0000 1.1434
O 1.3077 1.3077 3.6658
O 1.3077 3.8215 3.6658
O 2.5646 2.5646 1.2621
O 3.8215 1.3077 3.6658
O 3.8215 3.8215 3.6658
```

Computed properties:
Magnetic moment (μB/atom): 0.000
Energy (eV/cell): -71.5
SG: P4mm, No. 99



[12]
RbMgNbAl2 after structural relaxation. Source: Alexandria via LeMat-Bulk, functional PBE.

The structure in extended XYZ format:
```
5
Lattice="5.5910 0.0000 0.0000 0.0000 5.5910 0.0000 0.0000 0.0000 5.2325" Properties=species:S:1:pos:R:3 pbc="T T T"
Rb 0.0000 0.0000 0.0000
Mg 2.7955 2.7955 2.6162
Nb 0.0000 0.0000 2.6162
Al 0.0000 2.7955 0.0000
Al 2.7955 0.0000 0.0000
```

Computed properties:
Magnetic moment (μB/atom): 0.581
ΔE_f (eV per formula unit): 10.65
SG: P4/mmm, No. 123



[13]
MgNbAlRu after structural relaxation. Source: Alexandria via LeMat-Bulk, functional PBE.

The structure in extended XYZ format:
```
4
Lattice="0.0000 3.1757 3.1757 3.1757 0.0000 3.1757 3.1757 3.1757 0.0000" Properties=species:S:1:pos:R:3 pbc="T T T"
Mg 0.0000 0.0000 0.0000
Nb 3.1757 3.1757 3.1757
Al 4.7635 4.7635 4.7635
Ru 1.5878 1.5878 1.5878
```

Computed properties:
Magnetic moment (μB/atom): 0.000
ΔE_f (eV per formula unit): -1.05
SG: F-43m, No. 216



[14]
MgNb2AlS after structural relaxation. Source: Alexandria via LeMat-Bulk, functional PBE.

The structure in extended XYZ format:
```
5
Lattice="4.9553 0.0000 0.0000 0.0000 4.9553 0.0000 0.0000 0.0000 4.3319" Properties=species:S:1:pos:R:3 pbc="T T T"
Mg 0.0000 0.0000 0.0000
Nb 0.0000 2.4776 0.0000
Nb 2.4776 0.0000 0.0000
Al 2.4776 2.4776 2.1660
S 0.0000 0.0000 2.1660
```

Computed properties:
Magnetic moment (μB/atom): 0.000
Energy (eV/cell): -22.7
SG: P4/mmm, No. 123



[15]
MgScNbAl after structural relaxation. Source: Alexandria via LeMat-Bulk, functional PBE.

The structure in extended XYZ format:
```
4
Lattice="0.0000 3.3567 3.3567 3.3567 0.0000 3.3567 3.3567 3.3567 0.0000" Properties=species:S:1:pos:R:3 pbc="T T T"
Mg 0.0000 0.0000 0.0000
Sc 1.6783 1.6783 1.6783
Nb 5.0350 5.0350 5.0350
Al 3.3567 3.3567 3.3567
```

Computed properties:
Magnetic moment (μB/atom): 0.139
ΔE_f (eV per formula unit): -0.13
SG: F-43m, No. 216



[16]
MgNbAl2Tl after structural relaxation. Source: Alexandria via LeMat-Bulk, functional PBE.

The structure in extended XYZ format:
```
5
Lattice="5.1139 0.0000 0.0000 0.0000 5.1139 0.0000 0.0000 0.0000 5.0881" Properties=species:S:1:pos:R:3 pbc="T T T"
Mg 0.0000 0.0000 0.0000
Nb 2.5570 2.5570 0.0000
Al 0.0000 2.5570 2.5440
Al 2.5570 0.0000 2.5440
Tl 0.0000 0.0000 2.5440
```

Computed properties:
Magnetic moment (μB/atom): 0.570
ΔE_f (eV per formula unit): 6.65
SG: P4/mmm, No. 123



[17]
Nd2MgAl2 after structural relaxation. Source: Alexandria via LeMat-Bulk, functional PBE.

The structure in extended XYZ format:
```
5
Lattice="2.2608 -7.6537 0.0000 2.2608 7.6537 0.0000 0.0000 0.0000 3.7721" Properties=species:S:1:pos:R:3 pbc="T T T"
Nd 2.2608 5.7420 0.0000
Nd 2.2608 -5.7420 0.0000
Mg 2.2608 0.0000 1.8861
Al 2.2608 3.1119 1.8861
Al 2.2608 -3.1119 1.8861
```

Computed properties:
Magnetic moment (μB/atom): 0.000
ΔE_f (eV per formula unit): -1.62
SG: Cmmm, No. 65



[18]
Nd6Mg5Al after structural relaxation. Source: Alexandria via LeMat-Bulk, functional PBE.

The structure in extended XYZ format:
```
12
Lattice="2.7191 -8.1664 0.0000 2.7191 8.1664 0.0000 0.0000 0.0000 7.7630" Properties=species:S:1:pos:R:3 pbc="T T T"
Nd 0.0000 0.0000 1.8644
Nd 0.0000 0.0000 5.8986
Nd 2.7191 2.6551 1.8910
Nd 2.7191 2.6551 5.8721
Nd 2.7191 -2.6551 1.8910
Nd 2.7191 -2.6551 5.8721
Mg 2.7191 5.4234 3.8815
Mg 2.7191 5.3920 0.0000
Mg 2.7191 0.0000 3.8815
Mg 2.7191 -5.3920 0.0000
Mg 2.7191 -5.4234 3.8815
Al 2.7191 0.0000 0.0000
```

Computed properties:
Magnetic moment (μB/atom): 0.000
ΔE_f (eV per formula unit): -1.87
SG: Cmmm, No. 65



[19]
NdMgAl2 after structural relaxation. Source: Alexandria via LeMat-Bulk, functional PBE.

The structure in extended XYZ format:
```
4
Lattice="4.5126 0.0000 0.0000 0.0000 4.5126 0.0000 0.0000 0.0000 4.4129" Properties=species:S:1:pos:R:3 pbc="T T T"
Nd 0.0000 0.0000 0.0000
Mg 2.2563 2.2563 0.0000
Al 0.0000 2.2563 2.2064
Al 2.2563 0.0000 2.2064
```

Computed properties:
Magnetic moment (μB/atom): 0.000
Relative energy among the computed polymorphs (eV per atom): 0.000
ΔE_f (eV per formula unit): -1.19
SG: P4/mmm, No. 123



[20]
NdMg2Al after structural relaxation. Source: Alexandria via LeMat-Bulk, functional PBE.

The structure in extended XYZ format:
```
4
Lattice="0.0000 3.5883 3.5883 3.5883 0.0000 3.5883 3.5883 3.5883 0.0000" Properties=species:S:1:pos:R:3 pbc="T T T"
Nd 0.0000 0.0000 0.0000
Mg 1.7941 1.7941 1.7941
Mg 5.3824 5.3824 5.3824
Al 3.5883 3.5883 3.5883
```

Computed properties:
Magnetic moment (μB/atom): 0.000
ΔE_f (eV per formula unit): -0.39
SG: Fm-3m, No. 225



[21]
Nd4Mg2Al after structural relaxation. Source: Alexandria via LeMat-Bulk, functional PBE.

The structure in extended XYZ format:
```
7
Lattice="-3.7907 3.7907 3.8158 3.7907 -3.7907 3.8158 3.7907 3.7907 -3.8158" Properties=species:S:1:pos:R:3 pbc="T T T"
Nd 1.8953 1.8953 -1.9079
Nd 1.8953 -1.8953 1.9079
Nd -1.8953 1.8953 1.9079
Nd 1.8953 1.8953 1.9079
Mg 3.7907 0.0000 0.0000
Mg 0.0000 3.7907 0.0000
Al 0.0000 0.0000 0.0000
```

Computed properties:
Magnetic moment (μB/atom): 0.000
ΔE_f (eV per formula unit): -0.15
SG: I4/mmm, No. 139



[22]
Nd8MgAl2 after structural relaxation. Source: Alexandria via LeMat-Bulk, functional PBE.

The structure in extended XYZ format:
```
11
Lattice="-2.5705 4.4140 7.4782 2.5705 -4.4140 7.4782 2.5705 4.4140 -7.4782" Properties=species:S:1:pos:R:3 pbc="T T T"
Nd 2.5705 2.5050 -2.3980
Nd 0.0000 0.0000 2.2068
Nd 0.0000 2.8421 0.0000
Nd 2.5705 2.5050 2.3980
Nd 0.0000 1.9090 5.0802
Nd 0.0000 5.9859 0.0000
Nd 0.0000 0.0000 12.7496
Nd 0.0000 1.9090 9.8762
Mg 2.5705 0.0000 0.0000
Al 2.5705 0.0000 4.5374
Al 0.0000 4.4140 2.9408
```

Computed properties:
Magnetic moment (μB/atom): 0.000
Relative energy among the computed polymorphs (eV per atom): 0.025
ΔE_f (eV per formula unit): -0.95
SG: Immm, No. 71



[23]
Nd4Mg3Al after structural relaxation. Source: Alexandria via LeMat-Bulk, functional PBE.

The structure in extended XYZ format:
```
8
Lattice="2.7121 1.5658 8.8878 -2.7121 1.5658 8.8878 0.0000 -3.1317 8.8878" Properties=species:S:1:pos:R:3 pbc="T T T"
Nd 0.0000 0.0000 3.2516
Nd 0.0000 0.0000 9.9243
Nd 0.0000 0.0000 16.7391
Nd 0.0000 0.0000 23.4119
Mg 0.0000 0.0000 6.6008
Mg 0.0000 0.0000 13.3317
Mg 0.0000 0.0000 20.0626
Al 0.0000 0.0000 0.0000
```

Computed properties:
Magnetic moment (μB/atom): 0.000
ΔE_f (eV per formula unit): -1.44
SG: R-3m, No. 166



[24]
Nd4MgAl after structural relaxation. Source: Alexandria via LeMat-Bulk, functional PBE.

The structure in extended XYZ format:
```
6
Lattice="6.8632 -1.8530 0.0000 6.8632 1.8530 0.0000 -2.0148 0.0000 7.1637" Properties=species:S:1:pos:R:3 pbc="T T T"
Nd 1.3805 0.0000 2.3968
Nd 0.4557 0.0000 5.8570
Nd 11.2558 0.0000 1.3067
Nd 10.3310 0.0000 4.7669
Mg 6.8632 0.0000 0.0000
Al 5.8557 0.0000 3.5818
```

Computed properties:
Magnetic moment (μB/atom): 0.000
Relative energy among the computed polymorphs (eV per atom): 0.000
ΔE_f (eV per formula unit): -0.73
SG: C2/m, No. 12



[25]
Nd5Mg4Al after structural relaxation. Source: Alexandria via LeMat-Bulk, functional PBE.

The structure in extended XYZ format:
```
10
Lattice="3.8317 0.0000 0.0000 0.0000 3.8317 0.0000 0.0000 0.0000 19.5229" Properties=species:S:1:pos:R:3 pbc="T T T"
Nd 0.0000 0.0000 0.0000
Nd 0.0000 0.0000 3.9730
Nd 0.0000 0.0000 7.9780
Nd 0.0000 0.0000 11.5449
Nd 0.0000 0.0000 15.5499
Mg 1.9158 1.9158 1.9856
Mg 1.9158 1.9158 5.9415
Mg 1.9158 1.9158 13.5813
Mg 1.9158 1.9158 17.5373
Al 1.9158 1.9158 9.7614
```

Computed properties:
Magnetic moment (μB/atom): 0.000
ΔE_f (eV per formula unit): -1.59
SG: P4/mmm, No. 123



[26]
NdMgAl after structural relaxation. Source: Alexandria via LeMat-Bulk, functional PBE.

The structure in extended XYZ format:
```
3
Lattice="0.0000 3.4911 3.4911 3.4911 0.0000 3.4911 3.4911 3.4911 0.0000" Properties=species:S:1:pos:R:3 pbc="T T T"
Nd 0.0000 0.0000 0.0000
Mg 3.4911 3.4911 3.4911
Al 1.7456 1.7456 1.7456
```

Computed properties:
Magnetic moment (μB/atom): 0.000
ΔE_f (eV per formula unit): -0.39
SG: F-43m, No. 216